No. 1
# LiMnCr4, optimized geometry, DFT PBE-GGA
# E_form: 0.385 eV/atom
# Symmetry: F-43m, No. 216
# Calculated total energy: -0.5790 Ry per atom
data_LiMnCr4
_space_group_name_H-M_alt 'P 1'
_space_group_IT_number 1
_cell_length_a 4.681
_cell_length_b 4.681
_cell_length_c 4.681
_cell_angle_alpha 60.00
_cell_angle_beta 60.00
_cell_angle_gamma 60.00
loop_
_space_group_symop_operation_xyz
'x,y,z'
loop_
_atom_site_label
_atom_site_fract_x
_atom_site_fract_y
_atom_site_fract_z
Li1 0.750 0.750 0.750
Mn1 0.000 0.000 0.000
Cr1 0.872 0.376 0.376
Cr2 0.376 0.376 0.872
Cr3 0.376 0.872 0.376
Cr4 0.376 0.376 0.376

No. 2
# LiMn2Cr, optimized geometry, DFT PBE-GGA
# E_form: 0.304 eV/atom
# Symmetry: Imm2, No. 44
# Calculated total energy: -0.5266 Ry per atom
data_LiMn2Cr
_space_group_name_H-M_alt 'P 1'
_space_group_IT_number 1
_cell_length_a 4.742
_cell_length_b 4.742
_cell_length_c 4.742
_cell_angle_alpha 145.96
_cell_angle_beta 130.07
_cell_angle_gamma 61.81
loop_
_space_group_symop_operation_xyz
'x,y,z'
loop_
_atom_site_label
_atom_site_fract_x
_atom_site_fract_y
_atom_site_fract_z
Cr1 0.512 0.512 0.000
Li1 0.247 0.747 0.500
Mn1 0.988 0.988 0.000
Mn2 0.752 0.252 0.500

No. 3
# LiMn2Cr2, optimized geometry, DFT PBE-GGA
# E_form: 0.304 eV/atom
# Symmetry: P4/mbm, No. 127
# Calculated total energy: -0.5583 Ry per atom
data_LiMn2Cr2
_space_group_name_H-M_alt 'P 1'
_space_group_IT_number 1
_cell_length_a 6.834
_cell_length_b 6.834
_cell_length_c 2.601
_cell_angle_alpha 90.00
_cell_angle_beta 90.00
_cell_angle_gamma 90.00
loop_
_space_group_symop_operation_xyz
'x,y,z'
loop_
_atom_site_label
_atom_site_fract_x
_atom_site_fract_y
_atom_site_fract_z
Cr1 0.151 0.651 0.500
Cr2 0.651 0.849 0.500
Cr3 0.849 0.349 0.500
Cr4 0.349 0.151 0.500
Mn1 0.354 0.854 0.000
Mn2 0.854 0.646 0.000
Mn3 0.646 0.146 0.000
Mn4 0.146 0.354 0.000
Li1 0.000 0.000 0.000
Li2 0.500 0.500 0.000

No. 4
# LiMn2Cr, optimized geometry, DFT PBE-GGA
# E_form: 0.323 eV/atom
# Symmetry: Immm, No. 71
# Calculated total energy: -0.5252 Ry per atom
data_LiMn2Cr
_space_group_name_H-M_alt 'P 1'
_space_group_IT_number 1
_cell_length_a 4.662
_cell_length_b 4.662
_cell_length_c 4.662
_cell_angle_alpha 145.08
_cell_angle_beta 127.10
_cell_angle_gamma 64.96
loop_
_space_group_symop_operation_xyz
'x,y,z'
loop_
_atom_site_label
_atom_site_fract_x
_atom_site_fract_y
_atom_site_fract_z
Cr1 0.750 0.250 0.500
Li1 0.250 0.750 0.500
Mn1 0.983 0.983 0.000
Mn2 0.517 0.517 0.000